Entry 1:
Entry from the Alexandria database: Ga2Pd2Pt after structural relaxation (PBE).

Lattice parameters (Å, degrees): 7.3431 7.3431 2.8565 90.00 90.00 90.00
Space group P4/mbm (No. 127)
Unique sites:
1 Ga 0.1665 0.3335 0.0000
2 Pd 0.1342 0.6342 0.5000
3 Pt 0.0000 0.0000 0.5000

Values from the calculation:
The value obtained for the offset from the most stable computed form is 141.3 meV/atom. Its formation energy from the elements is -2.3 eV per formula unit.

Entry 2:
Entry from the Alexandria database: YZr2Br after structural relaxation (PBE).

Lattice parameters (Å, degrees): 3.3700 3.3700 30.0311 90.00 90.00 120.00
Space group R-3m (No. 166, hexagonal axes)
Unique sites:
1 Y 0.0000 0.0000 0.0000
2 Zr 0.0000 0.0000 0.2424
3 Br 0.0000 0.0000 0.5000

Values from the calculation:
The value obtained for the uncorrected formation energy is -154 meV per atom. The value obtained for the offset from the most stable computed form is 164.9 meV/atom.

Entry 3:
Entry from the Alexandria database: PrSi3Rh3 after structural relaxation (PBE).

Lattice parameters (Å, degrees): 6.6968 6.6968 21.0307 90.00 90.00 120.00
Space group R-3 (No. 148, hexagonal axes)
Unique sites:
1 Pr 0.0000 0.0000 0.1681
2 Si 0.0192 0.7250 0.5953
3 Rh 0.0234 0.6437 0.3779

Values from the calculation:
The value obtained for the uncorrected formation energy is -648 meV per atom. The value obtained for the offset from the most stable computed form is 37.4 meV/atom.

Entry 4:
Entry from the Alexandria database: ScCuSi3 after structural relaxation (PBE).

Lattice parameters (Å, degrees): 4.5219 4.5219 4.5219 90.00 90.00 90.00
Space group Pm-3m (No. 221)
Unique sites:
1 Sc 0.0000 0.0000 0.0000
2 Cu 0.5000 0.5000 0.5000
3 Si 0.0000 0.5000 0.5000

Values from the calculation:
The value obtained for the uncorrected formation energy is 432 meV per atom.

For reference, magnetization by record: 0.0, 0.0, 0.0, 0.0 μB/f.u..
For reference, calculated volume by record: 154.0, 295.4, 816.8, 92.5 Å³ per cell.
For reference, electronic total energy by record: -4.9589, -6.4628, -6.8052, -4.9070 eV/atom.